Record 1
# ScSiSe2 | Alexandria | GGA-PBE | relaxed
# E_tot = -5.401 eV per atom
data_ScSiSe2
_space_group_name_H-M_alt 'P 4 m m'
_space_group_IT_number 99
_cell_length_a 3.898
_cell_length_b 3.898
_cell_length_c 5.471
_cell_angle_alpha 90.00
_cell_angle_beta 90.00
_cell_angle_gamma 90.00
loop_
_space_group_symop_operation_xyz
'x,y,z'
'-y,x,z'
'-x,-y,z'
'y,-x,z'
'-x,y,z'
'y,x,z'
'x,-y,z'
'-y,-x,z'
loop_
_atom_site_label
_atom_site_type_symbol
_atom_site_fract_x
_atom_site_fract_y
_atom_site_fract_z
Sc1 Sc 0.000 0.000 0.000
Si1 Si 0.500 0.500 0.477
Se1 Se 0.000 0.000 0.498
Se2 Se 0.500 0.500 0.004

---

Record 2
# ScSi2Se | Alexandria | GGA-PBE | relaxed
# E_tot = -5.288 eV per atom
data_ScSi2Se
_space_group_name_H-M_alt 'I -4 m 2'
_space_group_IT_number 119
_space_group_name_Hall 'I -4 -2'
_cell_length_a 3.959
_cell_length_b 3.959
_cell_length_c 9.234
_cell_angle_alpha 90.00
_cell_angle_beta 90.00
_cell_angle_gamma 90.00
loop_
_atom_site_label
_atom_site_type_symbol
_atom_site_fract_x
_atom_site_fract_y
_atom_site_fract_z
Sc1 Sc 0.000 0.000 0.000
Si1 Si 0.000 0.000 0.500
Si2 Si 0.000 0.500 0.250
Se1 Se 0.000 0.500 0.750

---

Record 3
# ScSiSe3 | Alexandria | GGA-PBE | relaxed
# E above lowest polymorph = 0.0000 eV/atom
# E_tot = -5.383 eV per atom
data_ScSiSe3
_space_group_name_H-M_alt 'P 1 21/c 1'
_space_group_IT_number 14
_cell_length_a 6.479
_cell_length_b 7.050
_cell_length_c 11.957
_cell_angle_alpha 90.00
_cell_angle_beta 120.57
_cell_angle_gamma 90.00
loop_
_space_group_symop_operation_xyz
'x,y,z'
'-x,-y,-z'
'-x,y+1/2,-z+1/2'
'x,-y+1/2,z+1/2'
loop_
_atom_site_label
_atom_site_type_symbol
_atom_site_fract_x
_atom_site_fract_y
_atom_site_fract_z
Sc1 Sc 0.186 0.120 0.252
Si1 Si 0.143 0.609 0.060
Se1 Se 0.087 0.165 0.915
Se2 Se 0.259 0.699 0.917
Se3 Se 0.423 0.036 0.749

---

Record 4
# ScSiSe2 | Alexandria | GGA-PBE | relaxed
# E_tot = -5.405 eV per atom
data_ScSiSe2
_space_group_name_H-M_alt 'I m m m'
_space_group_IT_number 71
_space_group_name_Hall '-I 2 2'
_cell_length_a 3.648
_cell_length_b 4.143
_cell_length_c 13.501
_cell_angle_alpha 90.00
_cell_angle_beta 90.00
_cell_angle_gamma 90.00
loop_
_atom_site_label
_atom_site_type_symbol
_atom_site_fract_x
_atom_site_fract_y
_atom_site_fract_z
Sc1 Sc 0.000 0.000 0.000
Si1 Si 0.000 0.000 0.500
Se1 Se 0.000 0.500 0.135

---

Record 5
# ScSi2Se | Alexandria | GGA-PBE | relaxed
# E_tot = -5.487 eV per atom
data_ScSi2Se
_space_group_name_H-M_alt 'C 1 m 1'
_space_group_IT_number 8
_cell_length_a 10.519
_cell_length_b 3.414
_cell_length_c 4.264
_cell_angle_alpha 90.00
_cell_angle_beta 93.91
_cell_angle_gamma 90.00
loop_
_space_group_symop_operation_xyz
'x,y,z'
'x,-y,z'
'x+1/2,y+1/2,z'
'x+1/2,-y+1/2,z'
loop_
_atom_site_label
_atom_site_type_symbol
_atom_site_fract_x
_atom_site_fract_y
_atom_site_fract_z
Sc1 Sc 0.000 0.000 0.000
Si1 Si 0.076 0.500 0.516
Si2 Si 0.303 0.500 0.511
Se1 Se 0.288 0.000 0.084

---

Record 6
# Sc8SiSe6 | Alexandria | GGA-PBE | relaxed
# E_tot = -6.299 eV per atom
data_Sc8SiSe6
_space_group_name_H-M_alt 'P -3'
_space_group_IT_number 147
_cell_length_a 10.0873
_cell_length_b 10.0873
_cell_length_c 3.7153
_cell_angle_alpha 90.00
_cell_angle_beta 90.00
_cell_angle_gamma 120.00
loop_
_space_group_symop_operation_xyz
'x,y,z'
'-x,-y,-z'
'-y,x-y,z'
'y,-x+y,-z'
'-x+y,-x,z'
'x-y,x,-z'
loop_
_atom_site_label
_atom_site_type_symbol
_atom_site_fract_x
_atom_site_fract_y
_atom_site_fract_z
Sc1 Sc 0.0198 0.2733 0.2533
Sc2 Sc 0.3333 0.6667 0.7491
Si1 Si 0.0000 0.0000 0.5000
Se1 Se 0.1343 0.6707 0.2520

---

no.,total magnetic moment (Bohr magnetons per cell)
1,0.00
2,0.00
3,0.00
4,0.00
5,0.00
6,0.00